{
  "formula": "MgInNi",
  "functional": "PBEsol",
  "state": "relaxed",
  "spacegroup": "I4mm (107)",
  "crystal_system": "tetragonal",
  "magnetic_moment_mub_per_fu": 0.0,
  "delta_e_f_ev_per_atom": -0.139,
  "total_energy_ev_per_atom": -3.759,
  "lattice_angstrom": [[3.247, 0.000, 0.000], [0.000, 3.247, 0.000], [-1.624, -1.624, 4.639]],
  "species": ["In", "Ni", "Mg"],
  "fractional_positions": [[0.984, 0.984, 0.968], [0.333, 0.333, 0.665], [0.683, 0.683, 0.367]]
}